Version one
A plane-wave DFT calculation with GGA-PBE was carried out for Dy3HoSe6 after structural relaxation.

The calculation puts the calculated volume at 26.5 Å³/atom. The calculation puts the density at 7.06 g/cm³.

The structure belongs to space group P2_1/m (No. 11); the cell edges are 11.559, 4.092 and 11.844 Å and the angles 90.00°, 109.10° and 90.00°. The inequivalent atoms are Dy at (0.069, 0.250, 0.168), Dy at (0.183, 0.750, 0.502), Dy at (0.341, 0.250, 0.918), Ho at (0.457, 0.250, 0.309), Se at (0.020, 0.250, 0.384), Se at (0.103, 0.250, 0.937), Se at (0.249, 0.750, 0.278), Se at (0.309, 0.750, 0.750), Se at (0.390, 0.250, 0.535) and Se at (0.417, 0.750, 0.100).

=====

Version two
A plane-wave DFT calculation with GGA-PBE was carried out for Dy3HoSe6 after structural relaxation.

The value obtained for the density of states at the Fermi level is 0.0000 states/eV per atom. The calculation puts the calculated volume at 29.5 Å³/atom. The calculation puts the density at 6.35 g/cm³.

The structure belongs to space group R-3 (No. 148, hexagonal axes); the cell edges are 11.9545, 11.9545 and 14.2875 Å and the angles 90.00°, 90.00° and 120.00°. The inequivalent atoms are Dy at (0.0527, 0.2718, 0.2016), Ho at (0.0000, 0.0000, 0.0000), Ho at (0.0000, 0.0000, 0.5000), Se at (0.0186, 0.2115, 0.3964) and Se at (0.0324, 0.1948, 0.8754).

=====

In order of decreasing stability: version one, version two.

=====

Version one
A plane-wave DFT calculation with GGA-PBE was carried out for DyHo2Si after structural relaxation.

The value obtained for the density of states at the Fermi level is 1.2037 states/eV per atom. The calculation puts the calculated volume at 29.2 Å³/atom. The calculation puts the density at 7.40 g/cm³.

The structure belongs to space group R-3m (No. 166, hexagonal axes); the cell edges are 3.5383, 3.5383 and 32.3311 Å and the angles 90.00°, 90.00° and 120.00°. The inequivalent atoms are Dy at (0.0000, 0.0000, 0.0000), Ho at (0.0000, 0.0000, 0.1062) and Si at (0.0000, 0.0000, 0.5000).

=====

Version two
A plane-wave DFT calculation with GGA-PBE was carried out for DyHo2Si after structural relaxation.

The value obtained for the density of states at the Fermi level is 0.9560 states/eV per atom. The calculation puts the calculated volume at 24.5 Å³/atom. The calculation puts the density at 8.81 g/cm³.

The structure belongs to space group P4/mmm (No. 123); the cell edges are 4.611, 4.611 and 4.611 Å and the angles 90.00°, 90.00° and 90.00°. The inequivalent atoms are Dy at (0.000, 0.000, 0.000), Ho at (0.000, 0.500, 0.500) and Si at (0.500, 0.500, 0.000).

=====

In order of decreasing stability: version two, version one.

=====

Version one
A plane-wave DFT calculation with GGA-PBE was carried out for SmDy2Ho after structural relaxation.

The value obtained for the density of states at the Fermi level is 1.4690 states/eV per atom. The calculation puts the calculated volume at 31.8 Å³/atom. The calculation puts the density at 8.35 g/cm³.

The structure belongs to space group P4/mmm (No. 123); the cell edges are 5.030, 5.030 and 5.033 Å and the angles 90.00°, 90.00° and 90.00°. The inequivalent atoms are Sm at (0.000, 0.000, 0.000), Dy at (0.000, 0.500, 0.500) and Ho at (0.500, 0.500, 0.000).

=====

Version two
A plane-wave DFT calculation with GGA-PBE was carried out for SmDy2Ho after structural relaxation.

The value obtained for the density of states at the Fermi level is 1.7444 states/eV per atom. The calculation puts the calculated volume at 32.3 Å³/atom. The calculation puts the density at 8.22 g/cm³.

The structure belongs to space group Imm2 (No. 44); the cell edges are 3.634, 11.358 and 6.269 Å and the angles 90.00°, 90.00° and 90.00°. The inequivalent atoms are Sm at (0.000, 0.000, 0.000), Dy at (0.000, 0.249, 0.666) and Ho at (0.000, 0.500, 0.997).

=====

Version three
A plane-wave DFT calculation with GGA-PBE was carried out for SmDy2Ho after structural relaxation.

The value obtained for the density of states at the Fermi level is 2.4692 states/eV per atom. The calculation puts the calculated volume at 32.3 Å³/atom. The calculation puts the density at 8.23 g/cm³.

The structure belongs to space group Fm-3m (No. 225); the cell edges are 8.025, 8.025 and 8.025 Å and the angles 90.00°, 90.00° and 90.00°. The inequivalent atoms are Sm at (0.000, 0.000, 0.000), Dy at (0.250, 0.250, 0.250) and Ho at (0.000, 0.000, 0.500).

=====

In order of decreasing stability: version two, version one, version three.